Entry from Alexandria: KCo2O4 after structural relaxation (PBE with a Hubbard U).

Summary:
Distance to the lowest polymorph of the same formula = 0.0 kJ per mole of atoms

Structure (CIF):
```
data_KCo2O4
_chemical_formula_sum 'K4 Co8 O16'
_symmetry_space_group_name_H-M 'P 1'
_symmetry_Int_Tables_number 1
_symmetry_space_group_name_Hall 'P 1'
_cell_length_a 5.716
_cell_length_b 12.591
_cell_length_c 4.929
_cell_angle_alpha 90.00
_cell_angle_beta 90.00
_cell_angle_gamma 90.00
loop_
_atom_site_label
_atom_site_fract_x
_atom_site_fract_y
_atom_site_fract_z
_atom_site_occupancy
K1 0.250 0.250 0.036 1
K2 0.250 0.750 0.360 1
K3 0.750 0.250 0.640 1
K4 0.750 0.750 0.964 1
Co1 0.000 0.000 0.500 1
Co2 0.000 0.500 0.500 1
Co3 0.250 0.501 0.000 1
Co4 0.250 0.999 0.000 1
Co5 0.500 0.000 0.500 1
Co6 0.500 0.500 0.500 1
Co7 0.750 0.001 0.000 1
Co8 0.750 0.499 0.000 1
O1 0.001 0.078 0.830 1
O2 0.001 0.422 0.830 1
O3 0.250 0.076 0.337 1
O4 0.250 0.424 0.337 1
O5 0.250 0.577 0.665 1
O6 0.250 0.923 0.665 1
O7 0.499 0.078 0.830 1
O8 0.499 0.422 0.830 1
O9 0.501 0.578 0.170 1
O10 0.501 0.922 0.170 1
O11 0.750 0.077 0.335 1
O12 0.750 0.423 0.335 1
O13 0.750 0.576 0.663 1
O14 0.750 0.924 0.663 1
O15 0.999 0.578 0.170 1
O16 0.999 0.922 0.170 1
```